Density functional theory data (PBE) for a geometry-optimized LaCoGe3Ir structure.

Values from the calculation:
Calculated formation energy, eV per atom: -0.39
Space-group type: Cmcm (63)
Total moment, Bohr magnetons per cell: 0.00

a b c (Å): 6.078 6.431 7.057
angles (deg): 117.11 90.00 90.00
Element x y z (fractional)
Ge 0.500 0.224 0.000
Ge 0.750 0.709 0.418
Ge 0.500 0.776 0.000
Ge 0.250 0.291 0.582
Ge 0.000 0.776 0.000
Ge 0.000 0.224 0.000
Co 0.750 0.534 0.069
Co 0.250 0.466 0.931
La 0.250 0.708 0.417
La 0.750 0.292 0.583
Ir 0.250 0.107 0.214
Ir 0.750 0.893 0.786